Mg3SiSn: optimized geometry, PBE.

```
data_Mg3SiSn
_space_group_name_H-M_alt 'P m -3 m'
_space_group_IT_number 221
_space_group_name_Hall '-P 4 2 3'
_cell_length_a 5.024
_cell_length_b 5.024
_cell_length_c 5.024
_cell_angle_alpha 90.00
_cell_angle_beta 90.00
_cell_angle_gamma 90.00
loop_
_atom_site_label
_atom_site_type_symbol
_atom_site_fract_x
_atom_site_fract_y
_atom_site_fract_z
Mg1 Mg 0.000 0.000 0.500
Si1 Si 0.000 0.000 0.000
Sn1 Sn 0.500 0.500 0.500
```

Formation energy (no corrections) ... 0.8 eV per formula unit
ΔE to the lowest computed polymorph ... 0.0 kJ/mol of atoms


EuGaCu: optimized geometry, PBE.

```
data_EuGaCu
_space_group_name_H-M_alt 'I 4 m m'
_space_group_IT_number 107
_space_group_name_Hall 'I 4 -2'
_cell_length_a 3.418
_cell_length_b 3.418
_cell_length_c 10.801
_cell_angle_alpha 90.00
_cell_angle_beta 90.00
_cell_angle_gamma 90.00
loop_
_atom_site_label
_atom_site_type_symbol
_atom_site_fract_x
_atom_site_fract_y
_atom_site_fract_z
Eu1 Eu 0.000 0.000 0.000
Ga1 Ga 0.000 0.000 0.704
Cu1 Cu 0.000 0.000 0.298
```

Calculated total energy ... -5.988 eV/atom


Sr2ZrCo: optimized geometry, PBE.

```
data_Sr2ZrCo
_space_group_name_H-M_alt 'P 1 m 1'
_space_group_IT_number 6
_space_group_name_Hall 'P -2y'
_cell_length_a 3.716
_cell_length_b 3.602
_cell_length_c 9.530
_cell_angle_alpha 90.00
_cell_angle_beta 101.16
_cell_angle_gamma 90.00
loop_
_atom_site_label
_atom_site_type_symbol
_atom_site_fract_x
_atom_site_fract_y
_atom_site_fract_z
Sr1 Sr 0.000 0.000 0.000
Sr2 Sr 0.304 0.500 0.610
Zr1 Zr 0.664 0.000 0.328
Co1 Co 0.140 0.500 0.278
```

ΔE to the lowest computed polymorph ... 0.0 kJ/mol of atoms


| no. | N(E_F) (states/eV/f.u.) |
| --- | --- |
| 1 | 3.2 |
| 2 | 1.3 |
| 3 | 5.0 |